1.
Material: BePAu2N
Method: DFT, SCAN
State: PBEsol geometry

Cell: 4.6833 4.6833 3.9660 Å, 90.00 90.00 90.00°
Last column: nearest neighbours and their distance in Å.
Space group P4/mmm (No. 123)
Symmetry-distinct sites (fractional):
Be1 0.0000 0.0000 0.0000 [1 per cell]  2 P 1.98
P1 0.0000 0.0000 0.5000 [1 per cell]  2 Be 1.98
Au1 0.0000 0.5000 0.5000 [2 per cell]  2 P 2.34
N1 0.5000 0.5000 0.0000 [1 per cell]  8 Au 3.07, 4 Be 3.31

Raw formation energy (kJ/mol of atoms): 109.60
Theoretical density (g/cm3): 8.6



2.
Material: V2CoH4O8
Method: DFT, SCAN
State: PBEsol geometry

Cell: 5.5864 10.3167 11.3987 Å, 90.00 90.00 90.00°
Last column: nearest neighbours and their distance in Å.
Space group Pnma (No. 62)
Symmetry-distinct sites (fractional):
V1 0.1702 0.0302 0.1725 [8 per cell]  4 O 1.65-1.81
Co1 0.0201 0.7500 0.0381 [4 per cell]  4 O 1.83-1.84
H1 0.0462 0.7500 0.4280 [4 per cell]  1 O 1.00
H2 0.0943 0.1740 0.4002 [8 per cell]  1 O 1.00
H3 0.1528 0.7500 0.2930 [4 per cell]  1 O 0.98
O1 0.0206 0.5682 0.7047 [8 per cell]  1 H 1.74, 2 V 1.80-1.81
O2 0.0882 0.1243 0.0626 [8 per cell]  1 V 1.65, 1 Co 1.83
O3 0.1338 0.2500 0.4509 [4 per cell]  2 H 1.00
O4 0.1371 0.6269 0.1392 [8 per cell]  1 V 1.68, 1 Co 1.84
O5 0.1911 0.7500 0.3770 [4 per cell]  2 H 0.98-1.00

Theoretical density (g/cm3): 3.0
E_tot (eV per atom): -9.482



3.
Material: Na2Gd2Ti3O10
Method: DFT, SCAN
State: PBEsol geometry

Cell: 3.7895 3.7895 28.2952 Å, 90.00 90.00 90.00°
Last column: nearest neighbours and their distance in Å.
Space group I4/mmm (No. 139)
Symmetry-distinct sites (fractional):
Na1 0.0000 0.0000 0.2120 [4 per cell]  1 O 2.28
Gd1 0.0000 0.0000 0.0750 [4 per cell]  8 O 2.45-2.69
Ti1 0.0000 0.0000 0.3548 [4 per cell]  5 O 1.76-1.95
Ti2 0.0000 0.0000 0.5000 [2 per cell]  6 O 1.89-1.91
O1 0.0000 0.0000 0.2927 [4 per cell]  1 Ti 1.76
O2 0.0000 0.0000 0.4325 [4 per cell]  1 Ti 1.91
O3 0.0000 0.5000 0.0000 [4 per cell]  2 Ti 1.89
O4 0.0000 0.5000 0.1297 [8 per cell]  2 Ti 1.95

Raw formation energy (kJ/mol of atoms): -309.43
Theoretical density (g/cm3): 5.4



4.
Material: KCuAg4
Method: DFT, SCAN
State: PBEsol geometry

Cell: 7.7754 7.7754 7.7754 Å, 90.00 90.00 90.00°
Last column: nearest neighbours and their distance in Å.
Space group F-43m (No. 216)
Symmetry-distinct sites (fractional):
K1 0.0000 0.0000 0.0000 [4 per cell]  12 Ag 3.23, 4 Cu 3.37
Cu1 0.2500 0.2500 0.2500 [4 per cell]  12 Ag 3.22, 4 K 3.37
Ag1 0.1243 0.1243 0.6243 [16 per cell]  6 Ag 2.73-2.76

Formation enthalpy at 0 K (eV/atom): 0.239
Theoretical density (g/cm3): 7.5



5.
Material: P2SNCl
Method: DFT, SCAN
State: PBEsol geometry

Cell: 4.6364 4.6364 4.5594 Å, 90.00 90.00 90.00°
Last column: nearest neighbours and their distance in Å.
Space group P4/mmm (No. 123)
Symmetry-distinct sites (fractional):
P1 0.0000 0.5000 0.0000 [2 per cell]  2 Cl 2.32
S1 0.0000 0.0000 0.5000 [1 per cell]  2 Cl 2.28
N1 0.5000 0.5000 0.5000 [1 per cell]  8 P 3.25, 4 S 3.28
Cl1 0.0000 0.0000 0.0000 [1 per cell]  2 S 2.28, 4 P 2.32

Raw formation energy (kJ/mol of atoms): 228.30
Theoretical density (g/cm3): 2.4



6.
Material: TeMoPS2
Method: DFT, SCAN
State: PBEsol geometry

Cell: 4.8645 4.8645 5.0630 Å, 90.00 90.00 90.00°
Last column: nearest neighbours and their distance in Å.
Space group P4/mmm (No. 123)
Symmetry-distinct sites (fractional):
Te1 0.0000 0.0000 0.0000 [1 per cell]  4 S 2.43, 2 P 2.53
Mo1 0.5000 0.5000 0.5000 [1 per cell]  4 P 3.44, 8 S 3.51
P1 0.0000 0.0000 0.5000 [1 per cell]  2 Te 2.53
S1 0.0000 0.5000 0.0000 [2 per cell]  2 Te 2.43

Raw formation energy (kJ/mol of atoms): 122.75
Theoretical density (g/cm3): 4.4



7.
Material: ScNbP2S
Method: DFT, SCAN
State: PBEsol geometry

Cell: 4.7705 4.7705 4.6534 Å, 90.00 90.00 90.00°
Last column: nearest neighbours and their distance in Å.
Space group P4/mmm (No. 123)
Symmetry-distinct sites (fractional):
Sc1 0.0000 0.0000 0.0000 [1 per cell]  8 P 3.33, 4 S 3.37
Nb1 0.5000 0.5000 0.5000 [1 per cell]  2 S 2.33, 4 P 2.39
P1 0.0000 0.5000 0.5000 [2 per cell]  2 Nb 2.39
S1 0.5000 0.5000 0.0000 [1 per cell]  2 Nb 2.33

Raw formation energy (kJ/mol of atoms): -22.42
Theoretical density (g/cm3): 3.6



8.
Material: CaTeCO5
Method: DFT, SCAN
State: PBEsol geometry

Cell: 6.9063 11.0541 10.6048 Å, 90.00 90.00 90.00°
Last column: nearest neighbours and their distance in Å.
Space group Pbca (No. 61)
Symmetry-distinct sites (fractional):
Ca1 0.0186 0.1711 0.0099 [8 per cell]  7 O 2.34-2.51
Te1 0.0912 0.5181 0.8655 [8 per cell]  3 O 1.86-2.05
C1 0.2361 0.2407 0.2436 [8 per cell]  3 O 1.28-1.30
O1 0.0227 0.6102 0.0270 [8 per cell]  2 Te 1.98-2.05
O2 0.1428 0.1402 0.2242 [8 per cell]  1 C 1.30
O3 0.1540 0.5028 0.4170 [8 per cell]  1 Te 1.86
O4 0.2171 0.7283 0.8582 [8 per cell]  1 C 1.30
O5 0.2268 0.6907 0.6499 [8 per cell]  1 C 1.28

Raw formation energy (kJ/mol of atoms): -188.82
Theoretical density (g/cm3): 4.3



Please write out number 7 again, unchanged.
Material: ScNbP2S
Method: DFT, SCAN
State: PBEsol geometry

Cell: 4.7705 4.7705 4.6534 Å, 90.00 90.00 90.00°
Last column: nearest neighbours and their distance in Å.
Space group P4/mmm (No. 123)
Symmetry-distinct sites (fractional):
Sc1 0.0000 0.0000 0.0000 [1 per cell]  8 P 3.33, 4 S 3.37
Nb1 0.5000 0.5000 0.5000 [1 per cell]  2 S 2.33, 4 P 2.39
P1 0.0000 0.5000 0.5000 [2 per cell]  2 Nb 2.39
S1 0.5000 0.5000 0.0000 [1 per cell]  2 Nb 2.33

Raw formation energy (kJ/mol of atoms): -22.42
Theoretical density (g/cm3): 3.6